A geometry-optimized CdAgPtF2 structure, computed with PBE.

a = 4.151 Å, b = 4.151 Å, c = 5.648 Å
α = 90.00°, β = 90.00°, γ = 90.00°
Atoms (fractional coordinates):
Pt 0.000 0.000 0.000
Ag 0.500 0.500 0.500
F 0.500 0.000 0.000
F 0.000 0.500 0.000
Cd 0.000 0.000 0.500

Summary:
Total DFT energy (no corrections) (eV per atom): -3.14
Formation energy without anion corrections (eV/atom): -0.4330
Calculated volume (Å³ per cell): 97.32
D(E_F) (states/eV/f.u.): 1.7